[1]
Tc2Bi5O12 (PBE, relaxed); energy relative to the elements, uncorrected = -1.3011 eV/atom; space group = C2/m
1.0
6.4944 -2.8960 0.0000
6.4944 2.8960 0.0000
-2.4218 0.0000 7.4114
Tc Bi O
2 5 12
Direct
0.2162 0.7838 0.0000
0.7838 0.2162 0.0000
0.0000 0.0000 0.5000
0.3078 0.3078 0.6476
0.3095 0.3095 0.1703
0.6905 0.6905 0.8297
0.6922 0.6922 0.3524
0.0034 0.0034 0.8041
0.0856 0.5945 0.9123
0.0969 0.5921 0.4212
0.4055 0.9144 0.0877
0.4079 0.9031 0.5788
0.4996 0.4996 0.1654
0.5004 0.5004 0.8346
0.5921 0.0969 0.4212
0.5945 0.0856 0.9123
0.9031 0.4079 0.5788
0.9144 0.4055 0.0877
0.9966 0.9966 0.1959

[2]
SmTmLu4 (PBE, relaxed); formation energy = 27.1 kJ/mol of atoms; space group = F-43m
1.0
0.0000 4.5885 4.5885
4.5885 0.0000 4.5885
4.5885 4.5885 0.0000
Sm Tm Lu
1 1 4
Direct
0.0000 0.0000 0.0000
0.7500 0.7500 0.7500
0.3753 0.3753 0.3753
0.3753 0.3753 0.8740
0.3753 0.8740 0.3753
0.8740 0.3753 0.3753

[3]
PmPa2Al (PBE, relaxed); formation energy = 21.4 kJ/mol of atoms; energy above the lowest structure with this stoichiometry = 0.73 eV/f.u.; space group = R-3m
1.0
1.5771 0.9105 11.6385
-1.5771 0.9105 11.6385
0.0000 -1.8211 11.6385
Pm Pa Al
1 2 1
Direct
0.0000 0.0000 0.0000
0.0927 0.0927 0.0927
0.9073 0.9073 0.9073
0.5000 0.5000 0.5000

Calculated Fermi-level density of states in order - 5.313; 12.169; 7.176 states/eV/cell